Record 1
Here is a relaxed structure of TeMoAsSe2 from the Alexandria database. Energies are from GGA-PBEsol.

Calculated total energy, eV per atom: -5.35
Space-group type: P4/mmm, No. 123
ρ, g/cm3: 6.6
Total magnetization, μB/cell: 0.00
Energy relative to the elements, uncorrected, eV per atom: 0.27

The structure in CIF format:
```
data_TeMoAsSe2
_chemical_formula_sum 'Te1 Mo1 As1 Se2'
_cell_length_a 4.777
_cell_length_b 4.777
_cell_length_c 5.042
_cell_angle_alpha 90.00
_cell_angle_beta 90.00
_cell_angle_gamma 90.00
_symmetry_space_group_name_H-M 'P 1'
_symmetry_Int_Tables_number 1
_symmetry_space_group_name_Hall 'P 1'
loop_
_atom_site_label
_atom_site_type_symbol
_atom_site_fract_x
_atom_site_fract_y
_atom_site_fract_z
As1 As 0.000 0.000 0.500
Se1 Se 0.500 0.000 0.000
Se2 Se 0.000 0.500 0.000
Mo1 Mo 0.000 0.000 0.000
Te1 Te 0.500 0.500 0.500
```



Record 2
Here is a relaxed structure of Mg3CuC from the Alexandria database. Energies are from GGA-PBEsol.

Calculated total energy, eV per atom: -3.56
ΔH_f (0 K), eV per atom: 0.2671
Space-group type: Pm-3m, No. 221
ρ, g/cm3: 3.1
Total magnetization, μB/cell: 0.00

The structure in CIF format:
```
data_Mg3CuC
_chemical_formula_sum 'Mg3 Cu1 C1'
_cell_length_a 4.303
_cell_length_b 4.303
_cell_length_c 4.303
_cell_angle_alpha 90.00
_cell_angle_beta 90.00
_cell_angle_gamma 90.00
_symmetry_space_group_name_H-M 'P 1'
_symmetry_Int_Tables_number 1
_symmetry_space_group_name_Hall 'P 1'
loop_
_atom_site_label
_atom_site_type_symbol
_atom_site_fract_x
_atom_site_fract_y
_atom_site_fract_z
C1 C 0.000 0.000 0.000
Mg1 Mg 0.000 0.500 0.000
Mg2 Mg 0.500 0.000 0.000
Mg3 Mg 0.000 0.000 0.500
Cu1 Cu 0.500 0.500 0.500
```



Record 3
Here is a relaxed structure of BaCoTc2 from the Alexandria database. Energies are from GGA-PBEsol.

Calculated total energy, eV per atom: -6.73
ΔH_f (0 K), eV per atom: 1.3736
Space-group type: P4/mmm, No. 123
ρ, g/cm3: 9.1
Total magnetization, μB/cell: 1.33

The structure in CIF format:
```
data_BaCoTc2
_chemical_formula_sum 'Ba1 Co1 Tc2'
_cell_length_a 3.692
_cell_length_b 3.692
_cell_length_c 5.241
_cell_angle_alpha 90.00
_cell_angle_beta 90.00
_cell_angle_gamma 90.00
_symmetry_space_group_name_H-M 'P 1'
_symmetry_Int_Tables_number 1
_symmetry_space_group_name_Hall 'P 1'
loop_
_atom_site_label
_atom_site_type_symbol
_atom_site_fract_x
_atom_site_fract_y
_atom_site_fract_z
Tc1 Tc 0.500 0.000 0.000
Tc2 Tc 0.000 0.500 0.000
Ba1 Ba 0.500 0.500 0.500
Co1 Co 0.000 0.000 0.500
```



Record 4
Here is a relaxed structure of KNb4Bi5O18 from the Alexandria database. Energies are from GGA-PBEsol.

Calculated total energy, eV per atom: -7.71
Space-group type: Cm, No. 8
ρ, g/cm3: 7.5
Total magnetization, μB/cell: 0.00
Energy relative to the elements, uncorrected, eV per atom: -1.99

The structure in CIF format:
```
data_KNb4Bi5O18
_chemical_formula_sum 'K1 Nb4 Bi5 O18'
_cell_length_a 5.536
_cell_length_b 5.580
_cell_length_c 12.789
_cell_angle_alpha 90.00
_cell_angle_beta 77.50
_cell_angle_gamma 90.01
_symmetry_space_group_name_H-M 'P 1'
_symmetry_Int_Tables_number 1
_symmetry_space_group_name_Hall 'P 1'
loop_
_atom_site_label
_atom_site_type_symbol
_atom_site_fract_x
_atom_site_fract_y
_atom_site_fract_z
O1 O 0.158 0.931 0.318
O2 O 0.735 0.250 0.496
O3 O 0.175 0.924 0.000
O4 O 0.416 0.194 0.137
O5 O 0.138 0.638 0.818
O6 O 0.797 0.402 0.000
O7 O 0.515 0.423 0.316
O8 O 0.042 0.137 0.830
O9 O 0.831 0.423 0.684
O10 O 0.231 0.250 0.504
O11 O 0.476 0.931 0.682
O12 O 0.553 0.194 0.863
O13 O 0.956 0.638 0.182
O14 O 0.473 0.714 0.134
O15 O 0.607 0.714 0.866
O16 O 0.253 0.749 0.504
O17 O 0.872 0.137 0.170
O18 O 0.757 0.749 0.496
Nb1 Nb 0.841 0.459 0.829
Nb2 Nb 0.340 0.948 0.831
Nb3 Nb 0.671 0.459 0.171
Nb4 Nb 0.170 0.948 0.169
Bi1 Bi 0.070 0.528 0.401
Bi2 Bi 0.770 0.005 0.000
Bi3 Bi 0.470 0.528 0.599
Bi4 Bi 0.512 0.028 0.400
Bi5 Bi 0.912 0.028 0.600
K1 K 0.260 0.458 0.000
```



Record 5
Here is a relaxed structure of Co2HgBi2 from the Alexandria database. Energies are from GGA-PBEsol.

Calculated total energy, eV per atom: -4.67
ΔH_f (0 K), eV per atom: 0.2487
Space-group type: I4/mmm, No. 139
ρ, g/cm3: 11.4
Total magnetization, μB/cell: 2.79

The structure in CIF format:
```
data_Co2HgBi2
_chemical_formula_sum 'Co2 Hg1 Bi2'
_cell_length_a 3.410
_cell_length_b 3.410
_cell_length_c 9.564
_cell_angle_alpha 100.27
_cell_angle_beta 100.27
_cell_angle_gamma 90.00
_symmetry_space_group_name_H-M 'P 1'
_symmetry_Int_Tables_number 1
_symmetry_space_group_name_Hall 'P 1'
loop_
_atom_site_label
_atom_site_type_symbol
_atom_site_fract_x
_atom_site_fract_y
_atom_site_fract_z
Bi1 Bi 0.364 0.364 0.727
Bi2 Bi 0.636 0.636 0.273
Co1 Co 0.750 0.250 0.500
Co2 Co 0.250 0.750 0.500
Hg1 Hg 0.000 0.000 0.000
```



Record 6
Here is a relaxed structure of CsNa2SeI from the Alexandria database. Energies are from GGA-PBEsol.

Calculated total energy, eV per atom: -2.79
Space-group type: P4/mmm, No. 123
ρ, g/cm3: 1.5
Total magnetization, μB/cell: 0.00
Energy relative to the elements, uncorrected, eV per atom: -0.91

The structure in CIF format:
```
data_CsNa2SeI
_chemical_formula_sum 'Cs1 Na2 Se1 I1'
_cell_length_a 5.355
_cell_length_b 5.355
_cell_length_c 14.801
_cell_angle_alpha 90.00
_cell_angle_beta 90.00
_cell_angle_gamma 90.00
_symmetry_space_group_name_H-M 'P 1'
_symmetry_Int_Tables_number 1
_symmetry_space_group_name_Hall 'P 1'
loop_
_atom_site_label
_atom_site_type_symbol
_atom_site_fract_x
_atom_site_fract_y
_atom_site_fract_z
Na1 Na 0.500 0.000 0.000
Na2 Na 0.000 0.500 0.000
I1 I 0.000 0.000 0.500
Se1 Se 0.000 0.000 0.000
Cs1 Cs 0.500 0.500 0.500
```



Record 7
Here is a relaxed structure of GeAsBr2 from the Alexandria database. Energies are from GGA-PBEsol.

Calculated total energy, eV per atom: -3.31
Space-group type: R-3m, No. 166
ρ, g/cm3: 5.4
Total magnetization, μB/cell: 0.00
Energy relative to the elements, uncorrected, eV per atom: 0.13

The structure in CIF format:
```
data_GeAsBr2
_chemical_formula_sum 'Ge1 As1 Br2'
_cell_length_a 3.403
_cell_length_b 3.403
_cell_length_c 9.676
_cell_angle_alpha 79.87
_cell_angle_beta 79.87
_cell_angle_gamma 60.00
_symmetry_space_group_name_H-M 'P 1'
_symmetry_Int_Tables_number 1
_symmetry_space_group_name_Hall 'P 1'
loop_
_atom_site_label
_atom_site_type_symbol
_atom_site_fract_x
_atom_site_fract_y
_atom_site_fract_z
Br1 Br 0.091 0.091 0.726
Br2 Br 0.909 0.909 0.274
As1 As 0.000 0.000 0.000
Ge1 Ge 0.500 0.500 0.500
```



Record 8
Here is a relaxed structure of MgCd2In from the Alexandria database. Energies are from GGA-PBEsol.

Calculated total energy, eV per atom: -1.84
ΔH_f (0 K), eV per atom: -0.0618
Space-group type: I-4m2, No. 119
ρ, g/cm3: 6.9
Total magnetization, μB/cell: 0.00

The structure in CIF format:
```
data_MgCd2In
_chemical_formula_sum 'Mg1 Cd2 In1'
_cell_length_a 4.457
_cell_length_b 4.457
_cell_length_c 5.394
_cell_angle_alpha 114.40
_cell_angle_beta 114.40
_cell_angle_gamma 90.00
_symmetry_space_group_name_H-M 'P 1'
_symmetry_Int_Tables_number 1
_symmetry_space_group_name_Hall 'P 1'
loop_
_atom_site_label
_atom_site_type_symbol
_atom_site_fract_x
_atom_site_fract_y
_atom_site_fract_z
In1 In 0.500 0.500 0.000
Cd1 Cd 0.750 0.250 0.500
Cd2 Cd 0.000 0.000 0.000
Mg1 Mg 0.250 0.750 0.500
```



Record 9
Here is a relaxed structure of HfTcPb3 from the Alexandria database. Energies are from GGA-PBEsol.

Calculated total energy, eV per atom: -5.77
ΔH_f (0 K), eV per atom: 0.9833
Space-group type: Pm-3m, No. 221
ρ, g/cm3: 10.7
Total magnetization, μB/cell: 0.00

The structure in CIF format:
```
data_HfTcPb3
_chemical_formula_sum 'Hf1 Tc1 Pb3'
_cell_length_a 5.182
_cell_length_b 5.182
_cell_length_c 5.182
_cell_angle_alpha 90.00
_cell_angle_beta 90.00
_cell_angle_gamma 90.00
_symmetry_space_group_name_H-M 'P 1'
_symmetry_Int_Tables_number 1
_symmetry_space_group_name_Hall 'P 1'
loop_
_atom_site_label
_atom_site_type_symbol
_atom_site_fract_x
_atom_site_fract_y
_atom_site_fract_z
Pb1 Pb 0.000 0.500 0.000
Pb2 Pb 0.000 0.000 0.500
Pb3 Pb 0.500 0.000 0.000
Tc1 Tc 0.000 0.000 0.000
Hf1 Hf 0.500 0.500 0.500
```



Record 10
Here is a relaxed structure of Be2AuBr from the Alexandria database. Energies are from GGA-PBEsol.

Calculated total energy, eV per atom: -3.57
Space-group type: C2/m, No. 12
ρ, g/cm3: 6.7
Total magnetization, μB/cell: 0.00
Excess energy over the best structure of this formula in the dataset, meV/atom: 0.0
Energy relative to the elements, uncorrected, eV per atom: -0.13

The structure in CIF format:
```
data_Be2AuBr
_chemical_formula_sum 'Be2 Au1 Br1'
_cell_length_a 3.520
_cell_length_b 4.116
_cell_length_c 5.904
_cell_angle_alpha 75.44
_cell_angle_beta 72.65
_cell_angle_gamma 64.68
_symmetry_space_group_name_H-M 'P 1'
_symmetry_Int_Tables_number 1
_symmetry_space_group_name_Hall 'P 1'
loop_
_atom_site_label
_atom_site_type_symbol
_atom_site_fract_x
_atom_site_fract_y
_atom_site_fract_z
Be1 Be 0.350 0.411 0.889
Be2 Be 0.650 0.589 0.111
Br1 Br 0.500 0.500 0.500
Au1 Au 0.000 0.000 0.000
```



Record 11
Here is a relaxed structure of ReTcBr2 from the Alexandria database. Energies are from GGA-PBEsol.

Calculated total energy, eV per atom: -6.35
Space-group type: Cm, No. 8
ρ, g/cm3: 8.0
Total magnetization, μB/cell: 0.02
Excess energy over the best structure of this formula in the dataset, meV/atom: 0.0
Energy relative to the elements, uncorrected, eV per atom: 0.73

The structure in CIF format:
```
data_ReTcBr2
_chemical_formula_sum 'Re1 Tc1 Br2'
_cell_length_a 3.178
_cell_length_b 5.076
_cell_length_c 6.527
_cell_angle_alpha 112.07
_cell_angle_beta 90.00
_cell_angle_gamma 108.24
_symmetry_space_group_name_H-M 'P 1'
_symmetry_Int_Tables_number 1
_symmetry_space_group_name_Hall 'P 1'
loop_
_atom_site_label
_atom_site_type_symbol
_atom_site_fract_x
_atom_site_fract_y
_atom_site_fract_z
Br1 Br 0.951 0.901 0.911
Br2 Br 0.798 0.596 0.339
Tc1 Tc 0.211 0.422 0.625
Re1 Re 0.541 0.082 0.625
```



Record 12
Here is a relaxed structure of BaRe2Au from the Alexandria database. Energies are from GGA-PBEsol.

Calculated total energy, eV per atom: -7.21
ΔH_f (0 K), eV per atom: 0.9721
Space-group type: Imm2, No. 44
ρ, g/cm3: 12.8
Total magnetization, μB/cell: 0.00
Excess energy over the best structure of this formula in the dataset, meV/atom: 110.3

The structure in CIF format:
```
data_BaRe2Au
_chemical_formula_sum 'Ba1 Re2 Au1'
_cell_length_a 3.284
_cell_length_b 5.635
_cell_length_c 5.936
_cell_angle_alpha 118.34
_cell_angle_beta 106.06
_cell_angle_gamma 90.00
_symmetry_space_group_name_H-M 'P 1'
_symmetry_Int_Tables_number 1
_symmetry_space_group_name_Hall 'P 1'
loop_
_atom_site_label
_atom_site_type_symbol
_atom_site_fract_x
_atom_site_fract_y
_atom_site_fract_z
Re1 Re 0.734 0.234 0.469
Re2 Re 0.066 0.066 0.132
Au1 Au 0.453 0.453 0.906
Ba1 Ba 0.247 0.747 0.494
```



Which of these has the highest calculated total energy? MgCd2In



What is the total magnetization in the third record? 1.33 μB/cell